Record 1
# PBE TaRuCl2, relaxed
data_TaRuCl2
_chemical_formula_sum 'Ta1 Ru1 Cl2'
_cell_length_a 3.145
_cell_length_b 3.145
_cell_length_c 6.138
_cell_angle_alpha 90.00
_cell_angle_beta 90.00
_cell_angle_gamma 90.00
_symmetry_space_group_name_H-M 'P 4/m m m'
_symmetry_Int_Tables_number 123
_symmetry_space_group_name_Hall '-P 4 2'
loop_
_atom_site_label
_atom_site_type_symbol
_atom_site_fract_x
_atom_site_fract_y
_atom_site_fract_z
Ta1 Ta 0.000 0.000 0.000
Ru1 Ru 0.000 0.000 0.500
Cl1 Cl 0.500 0.500 0.239
# Energy relative to the lowest polymorph listed for this composition   113.6 kJ/mol of atoms
# Magnetic moment   0.81 μB/f.u.
# Uncorrected formation energy   0.69 eV per atom
# Total DFT energy (no corrections)   -5.513 eV per atom



Record 2
# PBE TaRuCl2, relaxed
data_TaRuCl2
_chemical_formula_sum 'Ta1 Ru1 Cl2'
_cell_length_a 2.912
_cell_length_b 4.335
_cell_length_c 5.217
_cell_angle_alpha 90.00
_cell_angle_beta 90.00
_cell_angle_gamma 90.00
_symmetry_space_group_name_H-M 'P m m m'
_symmetry_Int_Tables_number 47
_symmetry_space_group_name_Hall '-P 2 2'
loop_
_atom_site_label
_atom_site_type_symbol
_atom_site_fract_x
_atom_site_fract_y
_atom_site_fract_z
Ta1 Ta 0.000 0.000 0.000
Ru1 Ru 0.500 0.000 0.500
Cl1 Cl 0.000 0.500 0.500
Cl2 Cl 0.500 0.500 0.000
# Energy relative to the lowest polymorph listed for this composition   86.8 kJ/mol of atoms
# Magnetic moment   0.00 μB/f.u.
# Uncorrected formation energy   0.41 eV per atom
# Total DFT energy (no corrections)   -5.791 eV per atom



Record 3
# PBE Ta2RuCl, relaxed
data_Ta2RuCl
_chemical_formula_sum 'Ta8 Ru4 Cl4'
_cell_length_a 6.413
_cell_length_b 6.413
_cell_length_c 6.413
_cell_angle_alpha 90.00
_cell_angle_beta 90.00
_cell_angle_gamma 90.00
_symmetry_space_group_name_H-M 'F m -3 m'
_symmetry_Int_Tables_number 225
_symmetry_space_group_name_Hall '-F 4 2 3'
loop_
_atom_site_label
_atom_site_type_symbol
_atom_site_fract_x
_atom_site_fract_y
_atom_site_fract_z
Ta1 Ta 0.250 0.250 0.250
Ru1 Ru 0.000 0.000 0.000
Cl1 Cl 0.000 0.000 0.500
# Energy relative to the lowest polymorph listed for this composition   49.8 kJ/mol of atoms
# Magnetic moment   0.00 μB/f.u.
# Uncorrected formation energy   0.40 eV per atom
# Total DFT energy (no corrections)   -8.302 eV per atom



> What is the formula in the third record?

Ta2RuCl



> Which formula does entry 1 have?

TaRuCl2